(1)
A relaxed AgSn3Bi crystal, computed with PBE.

Values from the calculation:
Raw total energy ... -0.104 hartree per atom

a b c (Å): 5.919 5.919 5.919
angles (deg): 90.00 90.00 90.00
Space group Pm-3m (No. 221)
Symmetry-distinct sites (fractional):
1 Ag 0.000 0.000 0.000 x1
2 Sn 0.000 0.500 0.500 x3
3 Bi 0.500 0.500 0.500 x1

***

(2)
A relaxed TlGaRu2Pt crystal, computed with PBE.

Values from the calculation:
Raw total energy ... -0.151 hartree per atom

a b c (Å): 5.026 5.026 5.015
angles (deg): 90.00 90.00 90.00
Space group P4/mmm (No. 123)
Symmetry-distinct sites (fractional):
1 Tl 0.000 0.000 0.000 x1
2 Ga 0.500 0.500 0.500 x1
3 Ru 0.000 0.500 0.000 x2
4 Pt 0.000 0.000 0.500 x1

***

(3)
A relaxed YGe2H2 crystal, computed with PBE.

Values from the calculation:
Raw total energy ... -0.170 hartree per atom

a b c (Å): 6.012 6.012 4.156
angles (deg): 90.00 90.00 90.00
Space group P4/mbm (No. 127)
Symmetry-distinct sites (fractional):
1 Y 0.000 0.000 0.000 x2
2 Ge 0.156 0.344 0.500 x4
3 H 0.179 0.321 0.000 x4

***

(4)
A relaxed RbRhAu3 crystal, computed with PBE.

Values from the calculation:
Raw total energy ... -0.122 hartree per atom

a b c (Å): 5.175 5.175 5.175
angles (deg): 90.00 90.00 90.00
Space group Pm-3m (No. 221)
Symmetry-distinct sites (fractional):
1 Rb 0.000 0.000 0.000 x1
2 Rh 0.500 0.500 0.500 x1
3 Au 0.000 0.500 0.500 x3

***

raw total energy of number 2 (TlGaRu2Pt)? -0.151 hartree per atom

***

Number 1 is which compound? AgSn3Bi